## A
Sm3YSc | GGA-PBE | relaxed

The space group is C2/m (No. 12) and the conventional cell measures 16.614, 5.410 and 7.049 Å, with angles of 90.00, 90.04 and 90.00 degrees. The distinct sites, in fractional coordinates, are Sm at (0.003, 0.000, 0.252), Sm at (0.111, 0.500, 0.002), Sm at (0.202, 0.000, 0.750), Y at (0.112, 0.500, 0.498) and Sc at (0.200, 0.000, 0.253).

As for the crystal system: monoclinic. The value obtained for the total magnetization is 0.0000 μB per atom.

=====

## B
Sm3YSc | GGA-PBE | relaxed

The space group is Pbcm (No. 57) and the conventional cell measures 3.515, 17.376 and 10.666 Å, with angles of 90.00, 90.00 and 90.00 degrees. The distinct sites, in fractional coordinates, are Sm at (0.243, 0.250, 0.000), Sm at (0.255, 0.577, 0.061), Y at (0.239, 0.103, 0.750) and Sc at (0.260, 0.727, 0.250).

As for the crystal system: orthorhombic. The value obtained for the total magnetization is 0.0000 μB per atom.

=====

Result of the stability comparison: B is the least stable of them.

=====

## A
Sm2YSc | GGA-PBE | relaxed

The space group is P-1 (No. 2) and the conventional cell measures 6.048, 7.008 and 7.014 Å, with angles of 60.87, 74.52 and 74.40 degrees. The distinct sites, in fractional coordinates, are Sm at (0.249, 0.372, 0.378), Sm at (0.249, 0.878, 0.871), Y at (0.256, 0.373, 0.874) and Sc at (0.245, 0.876, 0.377).

As for the crystal system: triclinic. The value obtained for the total magnetization is 0.0000 μB per atom.

=====

## B
Sm2YSc | GGA-PBE | relaxed

The space group is Fm-3m (No. 225) and the conventional cell measures 7.922, 7.922 and 7.922 Å, with angles of 90.00, 90.00 and 90.00 degrees. The distinct sites, in fractional coordinates, are Sm at (0.250, 0.250, 0.250), Y at (0.000, 0.000, 0.000) and Sc at (0.000, 0.000, 0.500).

As for the crystal system: cubic. The value obtained for the total magnetization is 0.0000 μB per atom.

=====

Result of the stability comparison: B is the least stable of them.

=====

## A
Sm6YSc3 | GGA-PBE | relaxed

The space group is Cmc2_1 (No. 36) and the conventional cell measures 9.510, 20.803 and 6.283 Å, with angles of 90.00, 90.00 and 90.00 degrees. The distinct sites, in fractional coordinates, are Sm at (0.000, 0.014, 0.000), Sm at (0.000, 0.304, 0.973), Sm at (0.176, 0.281, 0.453), Sm at (0.179, 0.443, 0.190), Y at (0.000, 0.155, 0.765), Sc at (0.000, 0.418, 0.671) and Sc at (0.168, 0.126, 0.287).

As for the crystal system: orthorhombic. The value obtained for the total magnetization is 0.0000 μB per atom.

=====

## B
Sm6YSc3 | GGA-PBE | relaxed

The space group is R3 (No. 146, hexagonal axes) and the conventional cell measures 9.7307, 9.7307 and 11.5314 Å, with angles of 90.00, 90.00 and 120.00 degrees. The distinct sites, in fractional coordinates, are Sm at (0.0005, 0.3403, 0.0000), Sm at (0.0001, 0.6644, 0.4997), Y at (0.0000, 0.0000, 0.9990), Sc at (0.0000, 0.0000, 0.2584), Sc at (0.0000, 0.0000, 0.4989) and Sc at (0.0000, 0.0000, 0.7390).

As for the crystal system: trigonal. The value obtained for the total magnetization is 0.1201 μB per atom.

=====

Result of the stability comparison: B is the least stable of them.

=====

## A
Sm3Y3Sc2 | GGA-PBE | relaxed

The space group is C2/m (No. 12) and the conventional cell measures 16.874, 5.473 and 5.671 Å, with angles of 90.00, 108.14 and 90.00 degrees. The distinct sites, in fractional coordinates, are Sm at (0.000, 0.000, 0.000), Sm at (0.141, 0.000, 0.688), Y at (0.000, 0.500, 0.500), Y at (0.139, 0.500, 0.101) and Sc at (0.250, 0.000, 0.310).

As for the crystal system: monoclinic. The value obtained for the total magnetization is 0.0000 μB per atom.

=====

## B
Sm3Y3Sc2 | GGA-PBE | relaxed

The space group is Pmmm (No. 47) and the conventional cell measures 4.978, 5.006 and 9.858 Å, with angles of 90.00, 90.00 and 90.00 degrees. The distinct sites, in fractional coordinates, are Sm at (0.000, 0.000, 0.000), Sm at (0.000, 0.000, 0.500), Sm at (0.500, 0.500, 0.000), Y at (0.000, 0.500, 0.250), Y at (0.500, 0.500, 0.500) and Sc at (0.500, 0.000, 0.251).

As for the crystal system: orthorhombic. The value obtained for the total magnetization is 0.0000 μB per atom.

=====

Result of the stability comparison: A is the least stable of them.

=====

## A
Sm4YSc3 | GGA-PBE | relaxed

The space group is Pmn2_1 (No. 31) and the conventional cell measures 11.103, 7.104 and 6.116 Å, with angles of 90.00, 90.00 and 90.00 degrees. The distinct sites, in fractional coordinates, are Sm at (0.000, 0.133, 0.000), Sm at (0.000, 0.864, 0.525), Sm at (0.240, 0.133, 0.357), Y at (0.000, 0.618, 0.029), Sc at (0.000, 0.387, 0.523) and Sc at (0.249, 0.616, 0.353).

As for the crystal system: orthorhombic. The value obtained for the total magnetization is 0.0001 μB per atom.

=====

## B
Sm4YSc3 | GGA-PBE | relaxed

The space group is C2/m (No. 12) and the conventional cell measures 26.959, 3.461 and 5.677 Å, with angles of 90.00, 93.84 and 90.00 degrees. The distinct sites, in fractional coordinates, are Sm at (0.100, 0.000, 0.029), Sm at (0.189, 0.000, 0.562), Y at (0.000, 0.000, 0.500), Sc at (0.000, 0.500, 0.000) and Sc at (0.206, 0.500, 0.072).

As for the crystal system: monoclinic. The value obtained for the total magnetization is 0.0000 μB per atom.

=====

Result of the stability comparison: B is the least stable of them.

=====

## A
Sm12YSc6 | GGA-PBE | relaxed

The space group is Im-3 (No. 204) and the conventional cell measures 10.589, 10.589 and 10.589 Å, with angles of 90.00, 90.00 and 90.00 degrees. The distinct sites, in fractional coordinates, are Sm at (0.000, 0.199, 0.268), Y at (0.000, 0.000, 0.000) and Sc at (0.000, 0.362, 0.500).

As for the crystal system: cubic. The value obtained for the total magnetization is 0.0000 μB per atom.

=====

## B
Sm12YSc6 | GGA-PBE | relaxed

The space group is R-3 (No. 148, hexagonal axes) and the conventional cell measures 14.4289, 14.4289 and 10.1228 Å, with angles of 90.00, 90.00 and 120.00 degrees. The distinct sites, in fractional coordinates, are Sm at (0.0534, 0.7997, 0.0796), Sm at (0.0642, 0.8440, 0.4156), Y at (0.0000, 0.0000, 0.0000) and Sc at (0.0536, 0.8328, 0.7595).

As for the crystal system: trigonal. The value obtained for the total magnetization is 0.0000 μB per atom.

=====

Result of the stability comparison: B is the least stable of them.